Record 1
CaSc2O4: relaxed, PBE.

abc: 3.1375 5.4135 10.4579
angles: 90.00 90.00 106.84
Last column: nearest neighbours and their distance in Å.
Element x y z (fractional)
Sc  0.1337  0.2674  0.4275  6 O 2.05-2.23
Sc  0.1337  0.2674  0.0725  6 O 2.05-2.23
Sc  0.8663  0.7326  0.9275  6 O 2.05-2.23
Sc  0.8663  0.7326  0.5725  6 O 2.05-2.23
Ca  0.3884  0.7768  0.2500  6 O 2.29-2.50
Ca  0.6116  0.2232  0.7500  6 O 2.29-2.50
O  0.2347  0.4695  0.8900  3 Sc 2.11-2.18
O  0.7653  0.5305  0.1100  3 Sc 2.11-2.18
O  0.9507  0.9013  0.7500  2 Sc 2.05, 2 Ca 2.29
O  0.5000  0.0000  0.5000  4 Sc 2.23
O  0.2347  0.4695  0.6100  3 Sc 2.11-2.18
O  0.7653  0.5305  0.3900  3 Sc 2.11-2.18
O  0.0493  0.0987  0.2500  2 Sc 2.05, 2 Ca 2.29
O  0.5000  0.0000  0.0000  4 Sc 2.23

Properties
**D(E_F)**: 0.00 states/eV/cell
**Size of the total moment**: 0.00 μB per cell
**Energy above the most stable polymorph in this dataset**: 12.1 meV per atom
**Calculated volume**: 12.14 Å³/atom
**Crystal system**: orthorhombic

Record 2
CaCr2Au: relaxed, PBE.

abc: 9.4412 9.4412 9.4412
angles: 20.39 20.39 20.39
Last column: nearest neighbours and their distance in Å.
Element x y z (fractional)
Au  0.2500  0.2500  0.2500  6 Cr 2.77
Cr  0.9885  0.9885  0.9885  3 Au 2.77
Cr  0.5115  0.5115  0.5115  3 Au 2.77
Ca  0.7500  0.7500  0.7500  6 Cr 3.26, 6 Ca 3.34

Properties
**Formation energy from the elements**: 706 meV/atom
**D(E_F)**: 3.46 states/eV/cell
**Size of the total moment**: 8.62 μB per cell
**Energy above the most stable polymorph in this dataset**: 571.6 meV per atom
**Calculated volume**: 22.35 Å³/atom
**Crystal system**: trigonal

Record 3
NaY2InCo: relaxed, PBE.

abc: 5.1970 5.1970 5.0385
angles: 90.00 90.00 90.00
Last column: nearest neighbours and their distance in Å.
Element x y z (fractional)
Na  0.5000  0.5000  0.5000  8 Y 3.62, 4 In 3.67
Y  0.5000  0.0000  0.0000  2 Co 2.60
Y  0.0000  0.5000  0.0000  2 Co 2.60
Co  0.0000  0.0000  0.0000  2 In 2.52, 4 Y 2.60
In  0.0000  0.0000  0.5000  2 Co 2.52

Properties
**Formation energy from the elements**: -76 meV/atom
**D(E_F)**: 4.76 states/eV/cell
**Size of the total moment**: 0.00 μB per cell
**Calculated volume**: 27.22 Å³/atom
**Crystal system**: tetragonal

Record 4
Ti2NbSn2: relaxed, PBE.

abc: 7.3565 7.3565 3.6076
angles: 90.00 90.00 90.00
Last column: nearest neighbours and their distance in Å.
Element x y z (fractional)
Ti  0.3349  0.1651  0.5000  6 Sn 2.73-2.87
Ti  0.8349  0.3349  0.5000  6 Sn 2.73-2.87
Ti  0.6651  0.8349  0.5000  6 Sn 2.73-2.87
Ti  0.1651  0.6651  0.5000  6 Sn 2.73-2.87
Sn  0.8620  0.6380  0.0000  6 Ti 2.73-2.87, 2 Nb 2.85, 1 Sn 2.87
Sn  0.1380  0.3620  0.0000  6 Ti 2.73-2.87, 2 Nb 2.85, 1 Sn 2.87
Sn  0.6380  0.1380  0.0000  6 Ti 2.73-2.87, 2 Nb 2.85, 1 Sn 2.87
Sn  0.3620  0.8620  0.0000  6 Ti 2.73-2.87, 2 Nb 2.85, 1 Sn 2.87
Nb  0.5000  0.5000  0.0000  4 Sn 2.85
Nb  0.0000  0.0000  0.0000  4 Sn 2.85

Properties
**Formation energy from the elements**: -186 meV/atom
**D(E_F)**: 5.42 states/eV/cell
**Size of the total moment**: 0.00 μB per cell
**Energy above the most stable polymorph in this dataset**: 0.0 meV per atom
**Calculated volume**: 19.52 Å³/atom
**Crystal system**: tetragonal